# 1
First-principles (PBE-GGA) data for LiI2O2 after structural relaxation, as listed in the Alexandria database.

Unit cell a=4.9098 b=4.9098 c=4.0800 alpha=90.00 beta=90.00 gamma=90.00
Closest atoms and distances in Å follow each position.
Fractional coordinates of all 5 atoms:
Li 0.0000 0.0000 0.0000  8 I 3.19, 4 O 3.47
I 0.0000 0.5000 0.5000  2 O 2.45
I 0.5000 0.0000 0.5000  2 O 2.45
O 0.5000 0.5000 0.0000  2 O 2.04
O 0.5000 0.5000 0.5000  2 O 2.04

Calculated values
Mass density, Mg/m³: 4.943
Total DFT energy (no corrections), eV per atom: -2.712
Space group: No. 123
Raw formation energy, meV per atom: 273.8
Excess energy over the best structure of this formula in the dataset, eV per atom: 0.673

---

# 2
First-principles (PBE-GGA) data for LiIO2 after structural relaxation, as listed in the Alexandria database.

Unit cell a=3.2398 b=3.2398 c=18.3664 alpha=90.00 beta=90.00 gamma=120.00
Closest atoms and distances in Å follow each position.
Fractional coordinates of all 12 atoms:
Li 0.0000 0.0000 0.0000  6 O 2.18
Li 0.3333 0.6667 0.6667  6 O 2.18
Li 0.6667 0.3333 0.3333  6 O 2.18
I 0.0000 0.0000 0.5000  2 O 1.95
I 0.3333 0.6667 0.1667  2 O 1.95
I 0.6667 0.3333 0.8333  2 O 1.95
O 0.0000 0.0000 0.3940  1 I 1.95, 3 Li 2.18
O 0.0000 0.0000 0.6060  1 I 1.95, 3 Li 2.18
O 0.3333 0.6667 0.0606  1 I 1.95, 3 Li 2.18
O 0.3333 0.6667 0.2727  1 I 1.95, 3 Li 2.18
O 0.6667 0.3333 0.7273  1 I 1.95, 3 Li 2.18
O 0.6667 0.3333 0.9394  1 I 1.95, 3 Li 2.18

Calculated values
Mass density, Mg/m³: 4.948
Total DFT energy (no corrections), eV per atom: -3.960
Space group: No. 166
Raw formation energy, meV per atom: -614.6
Excess energy over the best structure of this formula in the dataset, eV per atom: 0.000

---

# 3
First-principles (PBE-GGA) data for LiIO2 after structural relaxation, as listed in the Alexandria database.

Unit cell a=5.8683 b=5.8683 c=5.8683 alpha=90.00 beta=90.00 gamma=90.00
Closest atoms and distances in Å follow each position.
Fractional coordinates of all 16 atoms:
Li 0.0000 0.0000 0.0000  8 O 2.54
Li 0.0000 0.5000 0.5000  8 O 2.54
Li 0.5000 0.0000 0.5000  8 O 2.54
Li 0.5000 0.5000 0.0000  8 O 2.54
I 0.0000 0.0000 0.5000  8 O 2.54
I 0.0000 0.5000 0.0000  8 O 2.54
I 0.5000 0.0000 0.0000  8 O 2.54
I 0.5000 0.5000 0.5000  8 O 2.54
O 0.2500 0.2500 0.2500  4 I 2.54, 4 Li 2.54
O 0.2500 0.2500 0.7500  4 Li 2.54, 4 I 2.54
O 0.2500 0.7500 0.2500  4 Li 2.54, 4 I 2.54
O 0.2500 0.7500 0.7500  4 I 2.54, 4 Li 2.54
O 0.7500 0.2500 0.2500  4 Li 2.54, 4 I 2.54
O 0.7500 0.2500 0.7500  4 I 2.54, 4 Li 2.54
O 0.7500 0.7500 0.2500  4 I 2.54, 4 Li 2.54
O 0.7500 0.7500 0.7500  4 Li 2.54, 4 I 2.54

Calculated values
Mass density, Mg/m³: 5.451
Total DFT energy (no corrections), eV per atom: -3.374
Space group: No. 225
Raw formation energy, meV per atom: -29.2
Excess energy over the best structure of this formula in the dataset, eV per atom: 0.585